No. 1
A plane-wave DFT calculation with PBE was carried out for a relaxed structure of AgHgPt.

Geometry as extended XYZ:
```
12
Lattice="5.1262 0.0000 -0.6899 0.0000 8.7652 0.0000 -2.8069 0.0000 5.2126" Properties=species:S:1:pos:R:3 pbc="T T T"
Pt 0.4582 8.7100 3.5653
Pt 4.4242 4.3274 0.6123
Pt 1.8611 0.0551 0.9573
Pt -2.1049 4.4377 3.9103
Ag -0.7001 7.2378 1.3014
Ag 0.4563 2.8552 3.5662
Ag 3.0194 1.5274 3.2212
Ag 1.8630 5.9100 0.9564
Hg 3.0214 7.4293 3.2172
Hg 1.8610 3.0467 0.9605
Hg -0.7021 1.3359 1.3054
Hg 0.4583 5.7185 3.5621
```

Calculated values
The calculation puts the final energy at -9.09 eV/f.u. The energy relative to the elements is 0.034 eV per atom. As for the symmetry: C2/c (15).

=====

No. 2
A plane-wave DFT calculation with PBE was carried out for a relaxed structure of H2Pd3Au2.

Geometry as extended XYZ:
```
7
Lattice="-2.0723 -0.9244 -1.8190 1.1565 -2.2570 4.4967 -5.4843 5.2975 0.9881" Properties=species:S:1:pos:R:3 pbc="T T T"
H -6.7627 3.9856 0.7857
H 0.3624 -1.8695 2.8802
Pd 0.0000 0.0000 0.0000
Pd -2.5279 -1.1735 1.1118
Pd -3.8723 3.2896 2.5541
Au -2.3790 1.3814 4.1951
Au -4.0213 0.7347 -0.5292
```

Calculated values
The calculation puts the final energy at -29.43 eV/f.u. As for the symmetry: P-1 (2).

=====

No. 3
A plane-wave DFT calculation with PBE was carried out for a relaxed structure of NaSrOsI2.

Geometry as extended XYZ:
```
5
Lattice="5.7121 0.0000 0.0000 0.0000 5.6156 0.0000 0.0000 0.0000 5.7121" Properties=species:S:1:pos:R:3 pbc="T T T"
I 0.0000 0.0000 2.8561
I 2.8561 0.0000 0.0000
Sr 2.8561 2.8078 2.8561
Os 0.0000 2.8078 0.0000
Na 0.0000 0.0000 0.0000
```

Calculated values
The calculation puts the final energy at -15.06 eV/f.u. For the raw formation energy, the calculation gives 0.453 eV/atom. As for the symmetry: P4/mmm (123).